This record from Alexandria describes crystalline LaPr2Nd8 at its relaxed geometry. The functional is PBE.

```
data_LaPr2Nd8
_cell_length_a 18.8197
_cell_length_b 5.2286
_cell_length_c 8.2710
_cell_angle_alpha 90.00
_cell_angle_beta 105.26
_cell_angle_gamma 90.00
_symmetry_space_group_name_H-M 'C 1 2/m 1'
_symmetry_Int_Tables_number 12
loop_
_symmetry_equiv_pos_as_xyz
'x,y,z'
'-x,-y,-z'
'-x,y,-z'
'x,-y,z'
'x+1/2,y+1/2,z'
'-x+1/2,-y+1/2,-z'
'-x+1/2,y+1/2,-z'
'x+1/2,-y+1/2,z'
loop_
_atom_site_label
_atom_site_type_symbol
_atom_site_fract_x
_atom_site_fract_y
_atom_site_fract_z
La1 La 0.0000 0.0000 0.0000
Pr1 Pr 0.2280 0.5000 0.6373
Nd1 Nd 0.0454 0.5000 0.7270
Nd2 Nd 0.0907 0.0000 0.4561
Nd3 Nd 0.1365 0.5000 0.1818
Nd4 Nd 0.1818 0.0000 0.9082
```

Energy relative to the lowest polymorph listed for this composition   0 meV/atom
Energy relative to the elements   0.013 eV per atom



This record from Alexandria describes crystalline Ca2NdH6 at its relaxed geometry. The functional is PBE.

```
data_Ca2NdH6
_cell_length_a 8.1412
_cell_length_b 8.1412
_cell_length_c 8.1412
_cell_angle_alpha 90.00
_cell_angle_beta 90.00
_cell_angle_gamma 90.00
_symmetry_space_group_name_H-M 'F m -3 m'
_symmetry_Int_Tables_number 225
_symmetry_space_group_name_Hall '-F 4 2 3'
loop_
_atom_site_label
_atom_site_type_symbol
_atom_site_fract_x
_atom_site_fract_y
_atom_site_fract_z
Ca1 Ca 0.2500 0.2500 0.2500
Nd1 Nd 0.0000 0.0000 0.0000
H1 H 0.0000 0.0000 0.2734
```



This record from Alexandria describes crystalline TbSmThHg at its relaxed geometry. The functional is PBE.

```
data_TbSmThHg
_cell_length_a 7.7411
_cell_length_b 7.7411
_cell_length_c 7.7411
_cell_angle_alpha 90.00
_cell_angle_beta 90.00
_cell_angle_gamma 90.00
_symmetry_space_group_name_H-M 'F -4 3 m'
_symmetry_Int_Tables_number 216
_symmetry_space_group_name_Hall 'F -4 2 3'
loop_
_atom_site_label
_atom_site_type_symbol
_atom_site_fract_x
_atom_site_fract_y
_atom_site_fract_z
Tb1 Tb 0.0000 0.0000 0.0000
Sm1 Sm 0.0000 0.0000 0.5000
Th1 Th 0.2500 0.2500 0.2500
Hg1 Hg 0.2500 0.2500 0.7500
```

Energy relative to the elements   0.053 eV per atom



This record from Alexandria describes crystalline NbMoOs5 at its relaxed geometry. The functional is PBE.

```
data_NbMoOs5
_cell_length_a 6.6954
_cell_length_b 7.5074
_cell_length_c 9.2444
_cell_angle_alpha 90.00
_cell_angle_beta 110.52
_cell_angle_gamma 90.00
_symmetry_space_group_name_H-M 'C 1 2/c 1'
_symmetry_Int_Tables_number 15
loop_
_symmetry_equiv_pos_as_xyz
'x,y,z'
'-x,-y,-z'
'-x,y,-z+1/2'
'x,-y,z+1/2'
'x+1/2,y+1/2,z'
'-x+1/2,-y+1/2,-z'
'-x+1/2,y+1/2,-z+1/2'
'x+1/2,-y+1/2,z+1/2'
loop_
_atom_site_label
_atom_site_type_symbol
_atom_site_fract_x
_atom_site_fract_y
_atom_site_fract_z
Nb1 Nb 0.2500 0.2500 0.0000
Mo1 Mo 0.0000 0.2420 0.2500
Os1 Os 0.0000 0.0990 0.7500
Os2 Os 0.1070 0.4492 0.6521
Os3 Os 0.1776 0.1013 0.5380
```

Energy relative to the elements   0.216 eV per atom



For reference, energy by record: -4.7718; -3.2277; -4.2146; -10.7908 eV/atom.
For reference, density by record: 6.660; 2.837; 10.623; 17.399 g/cm³.